The following is a PBE calculation of a relaxed Ce3Co3Ge crystal, from Alexandria.

```
Ce3Co3Ge
1.0
5.0348 0.0000 0.0000
0.0000 8.3035 0.0000
0.0000 -4.1517 7.1910
Ce Co Ge
6 6 2
Direct
0.7500 0.6969 0.6513
0.7500 0.3487 0.0456
0.7500 0.9544 0.3031
0.2500 0.3031 0.3487
0.2500 0.6513 0.9544
0.2500 0.0456 0.6969
0.2500 0.6793 0.6224
0.2500 0.3776 0.0569
0.2500 0.9431 0.3207
0.7500 0.3207 0.3776
0.7500 0.6224 0.9431
0.7500 0.0569 0.6793
0.2500 0.6667 0.3333
0.7500 0.3333 0.6667
```

## Properties
Total magnetization (μB/f.u.): 0.000
E above lowest polymorph (eV per formula unit): 1.63
Raw total energy (eV per cell): -89.80
Energy of formation (eV per atom): -0.17